DFT (PBE) results for a geometry-optimized Mg6CdCO8 structure.

```
16
Lattice="4.323 0.000 0.000 0.000 4.323 0.000 0.000 0.000 8.675" Properties=species:S:1:pos:R:3 pbc="T T T"
O 2.162 0.000 0.000
O 2.162 0.000 4.337
O 0.000 0.000 6.371
O 0.000 2.162 4.337
O 0.000 2.162 0.000
O 2.162 2.162 2.167
O 0.000 0.000 2.304
O 2.162 2.162 6.508
Mg 2.162 2.162 4.337
Mg 0.000 0.000 4.337
Mg 0.000 2.162 2.183
Mg 0.000 2.162 6.492
Mg 2.162 0.000 6.492
Mg 2.162 0.000 2.183
Cd 0.000 0.000 0.000
C 2.162 2.162 0.000
```

Values from the calculation:
Total magnetic moment   0.00 μB/cell
Distance to the lowest polymorph of the same formula   11 meV/atom
Raw total energy   -5.5015 eV/atom
Formation energy from raw total energies   -1.791 eV per atom

---

DFT (PBE) results for a geometry-optimized MgCdC2O6 structure.

```
10
Lattice="5.980 0.014 0.009 4.002 4.444 0.009 4.002 1.787 4.068" Properties=species:S:1:pos:R:3 pbc="T T T"
O 7.488 3.936 3.930
O 7.928 4.782 1.129
O 8.853 2.120 2.034
O 5.133 4.125 2.054
O 6.498 2.310 0.157
O 6.057 1.464 2.958
Cd 0.000 0.000 0.000
Mg 6.993 3.123 2.044
C 10.563 4.717 3.087
C 3.422 1.528 1.000
```

Values from the calculation:
Total magnetic moment   0.00 μB/cell
Raw total energy   -6.7621 eV/atom
Formation energy from raw total energies   -1.691 eV per atom

---

DFT (PBE) results for a geometry-optimized Mg3CdC4O12 structure.

```
20
Lattice="-4.966 3.588 -0.207 -2.138 -5.447 -1.828 0.895 -0.798 6.012" Properties=species:S:1:pos:R:3 pbc="T T T"
O -3.534 2.271 3.524
O -5.485 0.454 -0.538
O -1.955 -4.999 1.330
O -2.723 -2.548 1.770
O -2.695 -0.701 3.047
O -4.802 -2.212 -1.451
O -0.737 -3.941 3.740
O -1.872 0.560 5.174
O -0.869 -2.160 5.120
O -4.895 2.167 1.726
O -3.788 -4.095 -0.727
O -3.895 -0.736 1.150
C -3.104 -1.328 1.989
C -4.403 2.820 2.733
C -4.497 -3.463 -1.610
C -0.414 -3.342 4.844
Cd 0.000 0.000 0.000
Mg -3.670 -0.552 -0.949
Mg -0.748 -3.317 1.765
Mg -1.791 1.212 3.162
```

Values from the calculation:
Total magnetic moment   0.00 μB/cell
Raw total energy   -6.9550 eV/atom
Formation energy from raw total energies   -1.850 eV per atom

---

DFT (PBE) results for a geometry-optimized Mg2CdOsC structure.

```
5
Lattice="-1.542 -3.466 -2.417 0.774 -2.434 2.997 -4.132 0.698 1.634" Properties=species:S:1:pos:R:3 pbc="T T T"
Cd -2.450 -2.601 1.107
Mg -0.771 -1.733 -1.208
Mg -2.066 0.349 0.817
C 0.000 0.000 0.000
Os 0.387 -1.217 1.499
```

Values from the calculation:
Total magnetic moment   0.00 μB/cell
Energy relative to the elements   0.1433 eV/atom
Raw total energy   -4.7683 eV/atom

---

DFT (PBE) results for a geometry-optimized RbMgCd2C structure.

```
5
Lattice="-1.976 -6.939 -1.415 3.658 -1.840 3.913 -5.254 0.451 5.123" Properties=species:S:1:pos:R:3 pbc="T T T"
Cd -2.627 0.226 2.562
Cd -0.988 -3.469 -0.708
C 1.829 -0.920 1.957
Rb 0.000 0.000 0.000
Mg -1.786 -4.164 3.811
```

Values from the calculation:
Total magnetic moment   3.00 μB/cell
Energy relative to the elements   1.6006 eV/atom
Raw total energy   -1.1227 eV/atom

---

DFT (PBE) results for a geometry-optimized MgCdRh2C structure.

```
5
Lattice="4.092 0.000 0.000 0.000 4.092 0.000 0.000 0.000 4.352" Properties=species:S:1:pos:R:3 pbc="T T T"
Rh 0.000 2.046 0.000
Rh 2.046 0.000 0.000
Cd 2.046 2.046 2.176
C 0.000 0.000 0.000
Mg 0.000 0.000 2.176
```

Values from the calculation:
Total magnetic moment   0.00 μB/cell
Energy relative to the elements   -0.0699 eV/atom
Raw total energy   -5.3572 eV/atom

---

DFT (PBE) results for a geometry-optimized MgCdRuC2 structure.

```
5
Lattice="-0.137 2.992 2.576 0.249 -3.564 4.153 3.944 0.221 -0.047" Properties=species:S:1:pos:R:3 pbc="T T T"
Mg 2.028 -0.176 3.341
C 1.972 0.110 -0.024
C -0.068 1.496 1.288
Cd 0.125 -1.782 2.077
Ru 0.000 0.000 0.000
```

Values from the calculation:
Total magnetic moment   0.00 μB/cell
Energy relative to the elements   1.2163 eV/atom
Raw total energy   -4.8304 eV/atom

---

DFT (PBE) results for a geometry-optimized Mg2CdRuC structure.

```
5
Lattice="4.469 0.000 0.000 0.000 4.469 0.000 0.000 0.000 3.956" Properties=species:S:1:pos:R:3 pbc="T T T"
Mg 0.000 2.234 0.000
Mg 2.234 0.000 0.000
Ru 0.000 0.000 1.978
Cd 2.234 2.234 1.978
C 0.000 0.000 0.000
```

Values from the calculation:
Total magnetic moment   0.00 μB/cell
Energy relative to the elements   0.0789 eV/atom
Raw total energy   -4.4419 eV/atom